Below is an optimized crystal structure of Ba6Ti7Nb9O42, with properties calculated at the GGA-PBEsol level.

Structure (POSCAR):
```
Ba6Ti7Nb9O42
1.0
4.556 -7.873 0.000
4.556 7.873 0.000
-0.011 0.000 11.778
Ba Ti Nb O
6 7 9 42
direct
0.000 0.000 0.000 Ba
0.396 0.999 0.495 Ba
0.403 0.807 0.000 Ba
0.807 0.403 0.000 Ba
0.814 0.814 0.494 Ba
0.999 0.396 0.495 Ba
0.154 0.154 0.336 Ti
0.160 0.399 0.155 Ti
0.165 0.165 0.645 Ti
0.399 0.160 0.155 Ti
0.404 0.644 0.651 Ti
0.643 0.643 0.152 Ti
0.644 0.404 0.651 Ti
0.069 0.739 0.238 Nb
0.070 0.736 0.735 Nb
0.156 0.401 0.840 Nb
0.401 0.156 0.840 Nb
0.401 0.647 0.339 Nb
0.647 0.401 0.339 Nb
0.652 0.652 0.839 Nb
0.736 0.070 0.735 Nb
0.739 0.069 0.238 Nb
0.087 0.572 0.846 O
0.089 0.922 0.343 O
0.094 0.570 0.146 O
0.094 0.925 0.643 O
0.194 0.194 0.493 O
0.195 0.195 0.820 O
0.197 0.401 0.319 O
0.200 0.200 0.172 O
0.204 0.402 0.997 O
0.205 0.402 0.669 O
0.234 0.720 0.348 O
0.234 0.924 0.141 O
0.235 0.712 0.642 O
0.235 0.917 0.847 O
0.401 0.197 0.319 O
0.402 0.204 0.997 O
0.402 0.205 0.669 O
0.403 0.600 0.496 O
0.403 0.611 0.819 O
0.404 0.602 0.170 O
0.570 0.094 0.146 O
0.570 0.881 0.643 O
0.572 0.087 0.846 O
0.572 0.888 0.347 O
0.600 0.403 0.496 O
0.602 0.404 0.170 O
0.602 0.602 0.996 O
0.605 0.605 0.669 O
0.611 0.403 0.819 O
0.613 0.613 0.320 O
0.712 0.235 0.642 O
0.712 0.880 0.142 O
0.719 0.889 0.847 O
0.720 0.234 0.348 O
0.880 0.712 0.142 O
0.881 0.570 0.643 O
0.888 0.572 0.347 O
0.889 0.719 0.847 O
0.917 0.235 0.847 O
0.922 0.089 0.343 O
0.924 0.234 0.141 O
0.925 0.094 0.643 O
```

Calculated values
* magnetic moment: 0.0 μB per formula unit
* formation energy (no corrections): -184.68 eV/f.u.